First-principles (PBE) data for CdMo2Os after structural relaxation, as listed in the Alexandria database.

The symmetry is P4/mmm. The formation energy comes out at 230 meV per atom.

Unit cell a=2.8319 b=2.8319 c=8.2408 alpha=90.00 beta=90.00 gamma=90.00
With the nearest neighbours (Å) after each atom.
Fractional coordinates of all 4 atoms:
Cd (0.0000, 0.0000, 0.0000)  4 Cd 2.83, 8 Mo 3.04
Mo (0.5000, 0.5000, 0.2769)  4 Os 2.72, 4 Mo 2.83, 4 Cd 3.04
Mo (0.5000, 0.5000, 0.7231)  4 Os 2.72, 4 Mo 2.83, 4 Cd 3.04
Os (0.0000, 0.0000, 0.5000)  8 Mo 2.72, 4 Os 2.83

***

First-principles (PBE) data for ScCrRu after structural relaxation, as listed in the Alexandria database.

The symmetry is I4/mmm. The formation energy comes out at -61 meV per atom.

Unit cell a=11.5936 b=11.5936 c=11.5936 alpha=165.47 beta=165.47 gamma=20.60
With the nearest neighbours (Å) after each atom.
Fractional coordinates of all 6 atoms:
Sc (0.0705, 0.0705, 0.0000)  4 Ru 2.83, 4 Sc 2.93
Sc (0.9295, 0.9295, 0.0000)  4 Ru 2.83, 4 Sc 2.93
Cr (0.2169, 0.2169, 0.0000)  4 Ru 2.51, 4 Cr 2.57
Cr (0.7831, 0.7831, 0.0000)  4 Ru 2.51, 4 Cr 2.57
Ru (0.3454, 0.3454, 0.0000)  4 Cr 2.51
Ru (0.6546, 0.6546, 0.0000)  4 Cr 2.51

***

First-principles (PBE) data for Cs3TaAg after structural relaxation, as listed in the Alexandria database.

The symmetry is Pm-3m. The formation energy comes out at 1288 meV per atom.

Unit cell a=7.1136 b=7.1136 c=7.1136 alpha=90.00 beta=90.00 gamma=90.00
With the nearest neighbours (Å) after each atom.
Fractional coordinates of all 5 atoms:
Cs (0.0000, 0.0000, 0.5000)  2 Ta 3.56
Cs (0.0000, 0.5000, 0.0000)  2 Ta 3.56
Cs (0.5000, 0.0000, 0.0000)  2 Ta 3.56
Ta (0.0000, 0.0000, 0.0000)  6 Cs 3.56
Ag (0.5000, 0.5000, 0.5000)  12 Cs 5.03

***

First-principles (PBE) data for Mn4Fe after structural relaxation, as listed in the Alexandria database.

The symmetry is Pm-3m. The formation energy comes out at 1101 meV per atom.

Unit cell a=4.2658 b=4.2658 c=4.2658 alpha=90.00 beta=90.00 gamma=90.00
With the nearest neighbours (Å) after each atom.
Fractional coordinates of all 5 atoms:
Mn (0.0000, 0.0000, 0.0000)  12 Mn 3.02
Mn (0.0000, 0.5000, 0.5000)  2 Fe 2.13
Mn (0.5000, 0.0000, 0.5000)  2 Fe 2.13
Mn (0.5000, 0.5000, 0.0000)  2 Fe 2.13
Fe (0.5000, 0.5000, 0.5000)  6 Mn 2.13

***

First-principles (PBE) data for CuAu2Cl after structural relaxation, as listed in the Alexandria database.

The value obtained for the formation energy (no corrections) is 0.360 eV per atom. The symmetry is Cmmm.

Unit cell a=5.2404 b=5.2404 c=2.9133 alpha=90.00 beta=90.00 gamma=116.87
With the nearest neighbours (Å) after each atom.
Fractional coordinates of all 4 atoms:
Cu (0.0000, 0.0000, 0.0000)  2 Cl 2.74, 2 Cu 2.91, 8 Au 3.00
Au (0.0000, 0.5000, 0.5000)  4 Au 2.74-2.91, 4 Cl 3.00, 4 Cu 3.00
Au (0.5000, 0.0000, 0.5000)  4 Au 2.74-2.91, 4 Cl 3.00, 4 Cu 3.00
Cl (0.5000, 0.5000, 0.0000)  2 Cu 2.74, 2 Cl 2.91, 8 Au 3.00

***

First-principles (PBE) data for B2PbBrO after structural relaxation, as listed in the Alexandria database.

The value obtained for the formation energy (no corrections) is 1.538 eV per atom. The symmetry is P4/mmm.

Unit cell a=4.3798 b=4.3798 c=4.4659 alpha=90.00 beta=90.00 gamma=90.00
With the nearest neighbours (Å) after each atom.
Fractional coordinates of all 5 atoms:
B (0.0000, 0.5000, 0.0000)  2 O 2.19
B (0.5000, 0.0000, 0.0000)  2 O 2.19
Pb (0.0000, 0.0000, 0.5000)  4 Br 3.10, 8 B 3.13
Br (0.5000, 0.5000, 0.5000)  2 O 2.23
O (0.5000, 0.5000, 0.0000)  4 B 2.19, 2 Br 2.23

***

First-principles (PBE) data for ZnCdHg2F8 after structural relaxation, as listed in the Alexandria database.

The value obtained for the formation energy (no corrections) is -1.804 eV per atom. The symmetry is P2/m.

Unit cell a=4.4794 b=7.2560 c=5.4313 alpha=90.00 beta=91.75 gamma=90.00
With the nearest neighbours (Å) after each atom.
Fractional coordinates of all 12 atoms:
Zn (0.0000, 0.0000, 0.0000)  6 F 2.02-2.14
Cd (0.0000, 0.5000, 0.0000)  6 F 2.21-2.34
Hg (0.5000, 0.2418, 0.5000)  6 F 2.33-2.35
Hg (0.5000, 0.7582, 0.5000)  6 F 2.33-2.35
F (0.1166, 0.2329, 0.7801)  1 Zn 2.14, 1 Hg 2.33, 1 Cd 2.34
F (0.1166, 0.7671, 0.7801)  1 Zn 2.14, 1 Hg 2.33, 1 Cd 2.34
F (0.3606, 0.0000, 0.2327)  1 Zn 2.02
F (0.4005, 0.5000, 0.2492)  1 Cd 2.21, 2 Hg 2.35
F (0.5995, 0.5000, 0.7508)  1 Cd 2.21, 2 Hg 2.35
F (0.6394, 0.0000, 0.7673)  1 Zn 2.02
F (0.8834, 0.2329, 0.2199)  1 Zn 2.14, 1 Hg 2.33, 1 Cd 2.34
F (0.8834, 0.7671, 0.2199)  1 Zn 2.14, 1 Hg 2.33, 1 Cd 2.34

***

First-principles (PBE) data for ZrAsSe after structural relaxation, as listed in the Alexandria database.

The value obtained for the formation energy (no corrections) is -0.751 eV per atom. The symmetry is P3m1.

Unit cell a=3.6021 b=3.6021 c=6.4068 alpha=90.00 beta=90.00 gamma=120.00
With the nearest neighbours (Å) after each atom.
Fractional coordinates of all 3 atoms:
Zr (0.0000, 0.0000, 0.0000)  3 Se 2.68, 3 As 2.78
As (0.6667, 0.3333, 0.2886)  3 Zr 2.78
Se (0.3333, 0.6667, 0.7354)  3 Zr 2.68